1.
{"formula": "RbGa2SiO6", "functional": "PBE", "state": "relaxed", "crystal_system": "monoclinic", "magmom_total_mub_per_fu": 1.04, "density_g_cm3": 3.8, "spacegroup": "No. 15", "lattice": [[4.4050, -6.0546, 0.0000], [4.4050, 6.0546, 0.0000], [-2.1562, 0.0000, 5.7012]], "species": ["Rb", "Rb", "Ga", "Ga", "Ga", "Ga", "Si", "Si", "O", "O", "O", "O", "O", "O", "O", "O", "O", "O", "O", "O"], "fractional_positions": [[0.0970, 0.9030, 0.7500], [0.9030, 0.0970, 0.2500], [0.2785, 0.4599, 0.8853], [0.4599, 0.2785, 0.3853], [0.5401, 0.7215, 0.6147], [0.7215, 0.5401, 0.1147], [0.2039, 0.7961, 0.2500], [0.7961, 0.2039, 0.7500], [0.0302, 0.2650, 0.7631], [0.2382, 0.6828, 0.0123], [0.2650, 0.0302, 0.2631], [0.3172, 0.7618, 0.4877], [0.3540, 0.4187, 0.5947], [0.4187, 0.3540, 0.0947], [0.5813, 0.6460, 0.9053], [0.6460, 0.5813, 0.4053], [0.6828, 0.2382, 0.5123], [0.7350, 0.9698, 0.7369], [0.7618, 0.3172, 0.9877], [0.9698, 0.7350, 0.2369]]}


2.
{"formula": "RbGaSiO4", "functional": "PBE", "state": "relaxed", "crystal_system": "monoclinic", "magmom_total_mub_per_fu": 0.00, "density_g_cm3": 3.3, "n_ef_per_ev_fu": 0.00, "spacegroup": "No. 11", "lattice": [[5.3094, 0.0000, 0.0000], [0.0000, 5.4088, 0.0000], [-0.3572, 0.0000, 8.5568]], "species": ["Rb", "Rb", "Ga", "Ga", "Si", "Si", "O", "O", "O", "O", "O", "O", "O", "O"], "fractional_positions": [[0.2434, 0.2500, 0.0011], [0.7566, 0.7500, 0.9989], [0.1334, 0.2500, 0.5182], [0.8666, 0.7500, 0.4818], [0.2938, 0.7500, 0.2945], [0.7062, 0.2500, 0.7055], [0.1233, 0.5224, 0.3761], [0.1233, 0.9776, 0.3761], [0.2621, 0.7500, 0.1089], [0.4119, 0.2500, 0.6469], [0.5881, 0.7500, 0.3531], [0.7379, 0.2500, 0.8911], [0.8767, 0.0224, 0.6239], [0.8767, 0.4776, 0.6239]]}


3.
{"formula": "Rb2YGaSi4O12", "functional": "PBE", "state": "relaxed", "crystal_system": "monoclinic", "magmom_total_mub_per_fu": 0.06, "density_g_cm3": 3.3, "n_ef_per_ev_fu": 0.00, "spacegroup": "No. 15", "lattice": [[13.6492, -3.6825, 0.0000], [13.6492, 3.6825, 0.0000], [-8.2534, 0.0000, 12.5883]], "species": ["Rb", "Rb", "Rb", "Rb", "Rb", "Rb", "Rb", "Rb", "Y", "Y", "Y", "Y", "Ga", "Ga", "Ga", "Ga", "Si", "Si", "Si", "Si", "Si", "Si", "Si", "Si", "Si", "Si", "Si", "Si", "Si", "Si", "Si", "Si", "O", "O", "O", "O", "O", "O", "O", "O", "O", "O", "O", "O", "O", "O", "O", "O", "O", "O", "O", "O", "O", "O", "O", "O", "O", "O", "O", "O", "O", "O", "O", "O", "O", "O", "O", "O", "O", "O", "O", "O", "O", "O", "O", "O", "O", "O", "O", "O"], "fractional_positions": [[0.1871, 0.1960, 0.9666], [0.1960, 0.1871, 0.4666], [0.2016, 0.7295, 0.5483], [0.2705, 0.7984, 0.9517], [0.7295, 0.2016, 0.0483], [0.7984, 0.2705, 0.4517], [0.8040, 0.8129, 0.5334], [0.8129, 0.8040, 0.0334], [0.0137, 0.4494, 0.7497], [0.4494, 0.0137, 0.2497], [0.5506, 0.9863, 0.7503], [0.9863, 0.5506, 0.2503], [0.1324, 0.7289, 0.2752], [0.2711, 0.8676, 0.2248], [0.7289, 0.1324, 0.7752], [0.8676, 0.2711, 0.7248], [0.0180, 0.7424, 0.8391], [0.2098, 0.6646, 0.0773], [0.2576, 0.9820, 0.6609], [0.3042, 0.3579, 0.4895], [0.3133, 0.3610, 0.7042], [0.3354, 0.7902, 0.4227], [0.3579, 0.3042, 0.9895], [0.3610, 0.3133, 0.2042], [0.6390, 0.6867, 0.7958], [0.6421, 0.6958, 0.0105], [0.6646, 0.2098, 0.5773], [0.6867, 0.6390, 0.2958], [0.6958, 0.6421, 0.5105], [0.7424, 0.0180, 0.3391], [0.7902, 0.3354, 0.9227], [0.9820, 0.2576, 0.1609], [0.0626, 0.7529, 0.9675], [0.0639, 0.0804, 0.1633], [0.0716, 0.7921, 0.1582], [0.0804, 0.0639, 0.6633], [0.1158, 0.2590, 0.2257], [0.1191, 0.5307, 0.4220], [0.1482, 0.4260, 0.9229], [0.1718, 0.5474, 0.2309], [0.2079, 0.9284, 0.3418], [0.2256, 0.5472, 0.7963], [0.2313, 0.4129, 0.5872], [0.2471, 0.9374, 0.5325], [0.2590, 0.1158, 0.7257], [0.2591, 0.2962, 0.7040], [0.2962, 0.2591, 0.2040], [0.3242, 0.6663, 0.3794], [0.3337, 0.6758, 0.1206], [0.3652, 0.4379, 0.0558], [0.4129, 0.2313, 0.0872], [0.4260, 0.1482, 0.4229], [0.4379, 0.3652, 0.5558], [0.4528, 0.7744, 0.7037], [0.4526, 0.8282, 0.2691], [0.4693, 0.8809, 0.0780], [0.5307, 0.1191, 0.9220], [0.5474, 0.1718, 0.7309], [0.5472, 0.2256, 0.2963], [0.5621, 0.6348, 0.4442], [0.5740, 0.8518, 0.5771], [0.5871, 0.7687, 0.9128], [0.6348, 0.5621, 0.9442], [0.6663, 0.3242, 0.8794], [0.6758, 0.3337, 0.6206], [0.7038, 0.7409, 0.7960], [0.7409, 0.7038, 0.2960], [0.7410, 0.8842, 0.2743], [0.7529, 0.0626, 0.4675], [0.7687, 0.5871, 0.4128], [0.7744, 0.4528, 0.2037], [0.7921, 0.0716, 0.6582], [0.8282, 0.4526, 0.7691], [0.8518, 0.5740, 0.0771], [0.8809, 0.4693, 0.5780], [0.8842, 0.7410, 0.7743], [0.9196, 0.9361, 0.3367], [0.9284, 0.2079, 0.8418], [0.9361, 0.9196, 0.8367], [0.9374, 0.2471, 0.0325]]}


4.
{"formula": "Rb2SmGaO4", "functional": "PBE", "state": "relaxed", "crystal_system": "orthorhombic", "magmom_total_mub_per_fu": 0.02, "density_g_cm3": 3.6, "n_ef_per_ev_fu": 0.00, "spacegroup": "No. 70", "lattice": [[0.0000, 6.3898, 11.6288], [2.8382, 0.0000, 11.6288], [2.8382, 6.3898, 0.0000]], "species": ["Rb", "Rb", "Rb", "Rb", "Sm", "Sm", "Ga", "Ga", "O", "O", "O", "O", "O", "O", "O", "O"], "fractional_positions": [[0.0645, 0.0645, 0.6855], [0.3145, 0.3145, 0.9355], [0.6855, 0.6855, 0.0645], [0.9355, 0.9355, 0.3145], [0.1250, 0.1250, 0.1250], [0.8750, 0.8750, 0.8750], [0.3750, 0.3750, 0.3750], [0.6250, 0.6250, 0.6250], [0.0323, 0.6389, 0.5360], [0.2929, 0.5360, 0.6389], [0.3611, 0.9677, 0.7071], [0.4640, 0.7071, 0.9677], [0.5360, 0.2929, 0.0323], [0.6389, 0.0323, 0.2929], [0.7071, 0.4640, 0.3611], [0.9677, 0.3611, 0.4640]]}


5.
{"formula": "Rb2GaSnO5", "functional": "PBE", "state": "relaxed", "crystal_system": "orthorhombic", "magmom_total_mub_per_fu": 1.01, "density_g_cm3": 4.4, "n_ef_per_ev_fu": 2.52, "spacegroup": "No. 36", "lattice": [[1.6215, -7.8767, 0.0000], [1.6215, 7.8767, 0.0000], [0.0000, 0.0000, 13.0545]], "species": ["Rb", "Rb", "Rb", "Rb", "Ga", "Ga", "Sn", "Sn", "O", "O", "O", "O", "O", "O", "O", "O", "O", "O"], "fractional_positions": [[0.0806, 0.9194, 0.5000], [0.1479, 0.8521, 0.1632], [0.8521, 0.1479, 0.6632], [0.9194, 0.0806, 0.0000], [0.4347, 0.5653, 0.2740], [0.5653, 0.4347, 0.7740], [0.2066, 0.7934, 0.8810], [0.7934, 0.2066, 0.3810], [0.0627, 0.9373, 0.8539], [0.2967, 0.7033, 0.4816], [0.3131, 0.6869, 0.2709], [0.3340, 0.6660, 0.8545], [0.4942, 0.5058, 0.1567], [0.5058, 0.4942, 0.6567], [0.6660, 0.3340, 0.3545], [0.6869, 0.3131, 0.7709], [0.7033, 0.2967, 0.9816], [0.9373, 0.0627, 0.3539]]}


6.
{"formula": "RbSr2GaO4", "functional": "PBE", "state": "relaxed", "crystal_system": "orthorhombic", "magmom_total_mub_per_fu": 0.12, "density_g_cm3": 4.6, "n_ef_per_ev_fu": 0.00, "spacegroup": "No. 63", "lattice": [[1.7644, -6.5133, 0.0000], [1.7644, 6.5133, 0.0000], [0.0000, 0.0000, 12.4578]], "species": ["Rb", "Rb", "Sr", "Sr", "Sr", "Sr", "Ga", "Ga", "O", "O", "O", "O", "O", "O", "O", "O"], "fractional_positions": [[0.0843, 0.9157, 0.7500], [0.9157, 0.0843, 0.2500], [0.3706, 0.6294, 0.5361], [0.3706, 0.6294, 0.9639], [0.6294, 0.3706, 0.0361], [0.6294, 0.3706, 0.4639], [0.1868, 0.8132, 0.2500], [0.8132, 0.1868, 0.7500], [0.0000, 0.0000, 0.0000], [0.0000, 0.0000, 0.5000], [0.2536, 0.7464, 0.1206], [0.2536, 0.7464, 0.3794], [0.3901, 0.6099, 0.7500], [0.6099, 0.3901, 0.2500], [0.7464, 0.2536, 0.6206], [0.7464, 0.2536, 0.8794]]}


7.
{"formula": "Rb2SrGaO4", "functional": "PBE", "state": "relaxed", "crystal_system": "tetragonal", "magmom_total_mub_per_fu": 1.04, "density_g_cm3": 4.2, "n_ef_per_ev_fu": 7.75, "spacegroup": "No. 121", "lattice": [[-3.4573, 3.4573, 3.2259], [3.4573, -3.4573, 3.2259], [3.4573, 3.4573, -3.2259]], "species": ["Rb", "Rb", "Sr", "Ga", "O", "O", "O", "O"], "fractional_positions": [[0.0000, 0.5000, 0.5000], [0.5000, 0.0000, 0.5000], [0.0000, 0.0000, 0.0000], [0.5000, 0.5000, 0.0000], [0.1622, 0.1622, 0.7072], [0.4549, 0.4549, 0.2928], [0.5451, 0.8378, 0.0000], [0.8378, 0.5451, 0.0000]]}


8.
{"formula": "Rb3TaGa2O8", "functional": "PBE", "state": "relaxed", "crystal_system": "trigonal", "magmom_total_mub_per_fu": 2.08, "density_g_cm3": 4.9, "n_ef_per_ev_fu": 9.35, "spacegroup": "No. 164", "lattice": [[5.8674, 0.0000, 0.0000], [-2.9337, 5.0813, 0.0000], [0.0000, 0.0000, 8.0501]], "species": ["Rb", "Rb", "Rb", "Ta", "Ga", "Ga", "O", "O", "O", "O", "O", "O", "O", "O"], "fractional_positions": [[0.0000, 0.0000, 0.0000], [0.3333, 0.6667, 0.7104], [0.6667, 0.3333, 0.2896], [0.0000, 0.0000, 0.5000], [0.3333, 0.6667, 0.2813], [0.6667, 0.3333, 0.7187], [0.1603, 0.3207, 0.3561], [0.1603, 0.8397, 0.3561], [0.3207, 0.1603, 0.6439], [0.3333, 0.6667, 0.0519], [0.6667, 0.3333, 0.9481], [0.6793, 0.8397, 0.3561], [0.8397, 0.1603, 0.6439], [0.8397, 0.6793, 0.6439]]}


Number 1: formation energy without anion corrections -1.926 eV/atom, DFT total energy -122.902 eV per cell. Number 2: formation energy without anion corrections -2.219 eV/atom, DFT total energy -89.564 eV per cell. Number 3: formation energy without anion corrections -2.721 eV/atom, DFT total energy -588.160 eV per cell. Number 4: formation energy without anion corrections -1.848 eV/atom, DFT total energy -88.596 eV per cell. Number 5: formation energy without anion corrections -1.452 eV/atom, DFT total energy -93.646 eV per cell. Number 6: formation energy without anion corrections -2.235 eV/atom, DFT total energy -90.139 eV per cell. Number 7: formation energy without anion corrections -1.574 eV/atom, DFT total energy -39.069 eV per cell. Number 8: formation energy without anion corrections -1.803 eV/atom, DFT total energy -85.720 eV per cell.